[1]
{
  "formula": "Li2ZrBe",
  "functional": "PBEsol",
  "state": "optimized geometry",
  "lattice": [[4.2260, -1.3243, 0.0000], [4.2260, 1.3243, 0.0000], [-0.6139, 0.0000, 5.7188]],
  "species": ["Li", "Li", "Zr", "Be"],
  "frac_coords": [[0.0000, 0.0000, 0.0000], [0.2473, 0.2473, 0.7976], [0.7667, 0.7667, 0.3378], [0.5069, 0.5069, 0.5676]]
}

[2]
{
  "formula": "LuBe13",
  "functional": "PBEsol",
  "state": "optimized geometry",
  "lattice": [[0.0000, 5.0311, 5.0311], [5.0311, 0.0000, 5.0311], [5.0311, 5.0311, 0.0000]],
  "species": ["Lu", "Lu", "Be", "Be", "Be", "Be", "Be", "Be", "Be", "Be", "Be", "Be", "Be", "Be", "Be", "Be", "Be", "Be", "Be", "Be", "Be", "Be", "Be", "Be", "Be", "Be", "Be", "Be"],
  "frac_coords": [[0.2500, 0.2500, 0.2500], [0.7500, 0.7500, 0.7500], [0.0000, 0.0000, 0.0000], [0.0621, 0.2921, 0.7079], [0.0621, 0.7079, 0.9379], [0.0621, 0.9379, 0.2921], [0.2079, 0.4379, 0.7921], [0.2079, 0.5621, 0.4379], [0.2079, 0.7921, 0.5621], [0.2921, 0.0621, 0.9379], [0.2921, 0.7079, 0.0621], [0.2921, 0.9379, 0.7079], [0.4379, 0.2079, 0.5621], [0.4379, 0.5621, 0.7921], [0.4379, 0.7921, 0.2079], [0.5000, 0.5000, 0.5000], [0.5621, 0.2079, 0.7921], [0.5621, 0.4379, 0.2079], [0.5621, 0.7921, 0.4379], [0.7079, 0.0621, 0.2921], [0.7079, 0.2921, 0.9379], [0.7079, 0.9379, 0.0621], [0.7921, 0.2079, 0.4379], [0.7921, 0.4379, 0.5621], [0.7921, 0.5621, 0.2079], [0.9379, 0.0621, 0.7079], [0.9379, 0.2921, 0.0621], [0.9379, 0.7079, 0.2921]]
}

[3]
{
  "formula": "Mg3Be",
  "functional": "PBEsol",
  "state": "optimized geometry",
  "lattice": [[-2.0929, 2.0929, 4.2412], [2.0929, -2.0929, 4.2412], [2.0929, 2.0929, -4.2412]],
  "species": ["Mg", "Mg", "Mg", "Be"],
  "frac_coords": [[0.0000, 0.0000, 0.0000], [0.2500, 0.7500, 0.5000], [0.7500, 0.2500, 0.5000], [0.5000, 0.5000, 0.0000]]
}

[4]
{
  "formula": "Mg2Be",
  "functional": "PBEsol",
  "state": "optimized geometry",
  "lattice": [[-3.2423, 3.2423, 2.4294], [3.2423, -3.2423, 2.4294], [3.2423, 3.2423, -2.4294]],
  "species": ["Mg", "Mg", "Mg", "Mg", "Be", "Be"],
  "frac_coords": [[0.1622, 0.6622, 0.8244], [0.3378, 0.1622, 0.5000], [0.6622, 0.8378, 0.5000], [0.8378, 0.3378, 0.1756], [0.2500, 0.2500, 0.0000], [0.7500, 0.7500, 0.0000]]
}

[5]
{
  "formula": "MgBe2",
  "functional": "PBEsol",
  "state": "optimized geometry",
  "lattice": [[1.4072, -8.3597, 0.0000], [1.4072, 8.3597, 0.0000], [0.0000, 0.0000, 3.3494]],
  "species": ["Mg", "Mg", "Be", "Be", "Be", "Be"],
  "frac_coords": [[0.1843, 0.8157, 0.7500], [0.8157, 0.1843, 0.2500], [0.0499, 0.9501, 0.2500], [0.4535, 0.5465, 0.2500], [0.5465, 0.4535, 0.7500], [0.9501, 0.0499, 0.7500]]
}

[6]
{
  "formula": "Mg4Be3",
  "functional": "PBEsol",
  "state": "optimized geometry",
  "lattice": [[4.7884, 0.0000, 0.0000], [-2.3942, 4.1469, 0.0000], [0.0000, 0.0000, 5.4666]],
  "species": ["Mg", "Mg", "Mg", "Mg", "Be", "Be", "Be"],
  "frac_coords": [[0.0000, 0.0000, 0.2423], [0.0000, 0.0000, 0.7577], [0.3333, 0.6667, 0.5000], [0.6667, 0.3333, 0.5000], [0.0000, 0.5000, 0.0000], [0.5000, 0.0000, 0.0000], [0.5000, 0.5000, 0.0000]]
}

| no. | E (eV per atom) | E_form (kcal/mol of atoms) |
| --- | --- | --- |
| 1 | -3.91 | 7.95 |
| 2 | -4.24 | -4.05 |
| 3 | -1.99 | 6.84 |
| 4 | -2.30 | 4.22 |
| 5 | -2.97 | 6.16 |
| 6 | -2.46 | 5.46 |